The following is a GGA-PBE calculation of a relaxed structure of SrLa2AgF, from the Alexandria database.

Unit cell a=4.9883 b=6.1835 c=4.9883 alpha=90.00 beta=90.00 gamma=90.00
Positions (direct):
Ag1 0.0000 0.5000 0.0000
La1 0.5000 0.0000 0.0000
La2 0.0000 0.0000 0.5000
F1 0.0000 0.0000 0.0000
Sr1 0.5000 0.5000 0.5000

Computed properties:
**Crystal system**: tetragonal
**ΔE_f (raw)**: -0.875 eV/atom
**Total DFT energy (no corrections)**: -20.63 eV for the cell shown